Entry 1:
This record from the Alexandria database describes an optimized crystal structure of Cu2Ag2Cl. The functional is PBE.

Values from the calculation:
DOS(E_F): 1.42 states/eV/f.u.
Total magnetization: 0.00 μB per atom
Formation energy without anion corrections: 0.436 eV per formula unit

Geometry as POSCAR:
```
Cu2Ag2Cl
1.0
-1.709 1.709 7.657
1.709 -1.709 7.657
1.709 1.709 -7.657
Ag Cu Cl
2 2 1
direct
0.387 0.387 0.000
0.613 0.613 0.000
0.250 0.750 0.500
0.750 0.250 0.500
0.000 0.000 0.000
```


Entry 2:
This record from the Alexandria database describes an optimized crystal structure of Cu2Ag2Cl7. The functional is PBE.

Values from the calculation:
DOS(E_F): 10.00 states/eV/f.u.
Total magnetization: 0.00 μB per atom
Formation energy without anion corrections: -4.524 eV per formula unit

Geometry as POSCAR:
```
Cu2Ag2Cl7
1.0
-4.762 -0.660 4.334
-4.623 -0.123 -5.311
2.804 -6.166 1.929
Cl Ag Cu
7 2 2
direct
0.228 0.061 0.412
0.772 0.939 0.588
0.272 0.584 0.584
0.228 0.412 0.061
0.772 0.588 0.939
0.500 0.000 0.000
0.728 0.416 0.416
0.000 0.690 0.310
0.000 0.310 0.690
0.625 0.716 0.716
0.375 0.284 0.284
```


Entry 3:
This record from the Alexandria database describes an optimized crystal structure of Cu4AgCl. The functional is PBE.

Values from the calculation:
DOS(E_F): 0.61 states/eV/f.u.
Total magnetization: 0.00 μB per atom
Formation energy without anion corrections: 1.530 eV per formula unit

Geometry as POSCAR:
```
Cu4AgCl
1.0
0.000 3.559 3.559
3.559 0.000 3.559
3.559 3.559 0.000
Cu Ag Cl
4 1 1
direct
0.875 0.375 0.375
0.375 0.375 0.875
0.375 0.875 0.375
0.375 0.375 0.375
0.750 0.750 0.750
0.000 0.000 0.000
```


Entry 4:
This record from the Alexandria database describes an optimized crystal structure of CuAg3Cl. The functional is PBE.

Values from the calculation:
DOS(E_F): 2.00 states/eV/f.u.
Total magnetization: 0.00 μB per atom
Formation energy without anion corrections: 2.347 eV per formula unit
ΔE to the lowest computed polymorph: 0.0 meV/atom

Geometry as POSCAR:
```
CuAg3Cl
1.0
4.887 0.000 0.000
0.000 4.887 0.000
0.000 0.000 4.887
Cl Ag Cu
1 3 1
direct
0.500 0.500 0.500
0.500 0.000 0.000
0.000 0.000 0.500
0.000 0.500 0.000
0.000 0.000 0.000
```